(1)
Here is a relaxed structure of HoMg4Au5 from the Alexandria database. Energies are from GGA-PBE.

Cell and atoms, written as extended XYZ:
```
10
Lattice="3.398 0.000 0.000 0.000 3.398 0.000 0.000 0.000 16.515" Properties=species:S:1:pos:R:3 pbc="T T T"
Ho 0.000 0.000 0.000
Mg 0.000 0.000 3.501
Mg 0.000 0.000 6.680
Mg 0.000 0.000 9.835
Mg 0.000 0.000 13.014
Au 1.699 1.699 1.893
Au 1.699 1.699 5.089
Au 1.699 1.699 8.257
Au 1.699 1.699 11.426
Au 1.699 1.699 14.621
```

Summary:
Space group   No. 123
Total magnetization   0.00 μB per cell
Final energy   -0.249 Ry per atom
ΔE_f   -0.6587 eV per atom

(2)
Here is a relaxed structure of Tb5CeSb4 from the Alexandria database. Energies are from GGA-PBE.

Cell and atoms, written as extended XYZ:
```
10
Lattice="-1.696 -3.892 -0.940 7.803 -3.359 -0.168 -2.083 1.079 9.348" Properties=species:S:1:pos:R:3 pbc="T T T"
Tb 2.348 -4.690 5.126
Tb -1.456 -3.126 5.511
Tb 5.479 -3.047 2.729
Tb 3.053 -3.626 -0.554
Tb 1.675 -1.482 3.114
Ce -0.848 -1.946 -0.470
Sb 5.185 -3.632 5.683
Sb 2.037 -5.276 8.115
Sb -1.161 -2.540 2.557
Sb 1.987 -0.896 0.125
```

Summary:
Space group   No. 12
ΔE_f (raw)   -7.1 eV/f.u.
Total magnetization   0.88 μB per cell
Final energy   -0.387 Ry per atom

What is the total magnetization in the first record? 0.00 μB per cell